The following is a PBEsol calculation of a geometry-optimized Cs2InGe structure, from Alexandria.

Unit cell a=6.063 b=6.063 c=6.063 alpha=60.00 beta=60.00 gamma=60.00
Positions (direct):
Cs: 0.250 0.250 0.250
Cs: 0.750 0.750 0.750
In: 0.000 0.000 0.000
Ge: 0.500 0.500 0.500

For the total energy, the calculation gives -2.121 eV per atom. The volume comes out at 39.40 Å³/atom. The calculated density comes out at 4.8 g/cm3.

The following is a PBEsol calculation of a geometry-optimized Cs2GeIr structure, from Alexandria.

Unit cell a=5.535 b=5.535 c=5.535 alpha=60.00 beta=60.00 gamma=60.00
Positions (direct):
Cs: 0.250 0.250 0.250
Cs: 0.750 0.750 0.750
Ge: 0.000 0.000 0.000
Ir: 0.500 0.500 0.500

For the total energy, the calculation gives -2.901 eV per atom. The volume comes out at 29.97 Å³/atom. The calculated density comes out at 7.3 g/cm3.

The following is a PBEsol calculation of a geometry-optimized CsNa3Li12Ge4O16 structure, from Alexandria.

Unit cell a=8.515 b=8.515 c=8.515 alpha=98.30 beta=98.30 gamma=135.34
Positions (direct):
Cs: 0.000 0.000 0.000
Na: 0.250 0.750 0.500
Na: 0.500 0.500 0.000
Na: 0.750 0.250 0.500
Li: 0.021 0.356 0.868
Li: 0.079 0.717 0.796
Li: 0.154 0.021 0.666
Li: 0.283 0.079 0.362
Li: 0.356 0.488 0.334
Li: 0.488 0.154 0.132
Li: 0.512 0.846 0.868
Li: 0.644 0.512 0.666
Li: 0.717 0.921 0.638
Li: 0.846 0.979 0.334
Li: 0.921 0.283 0.204
Li: 0.979 0.644 0.132
Ge: 0.219 0.419 0.638
Ge: 0.419 0.781 0.200
Ge: 0.581 0.219 0.800
Ge: 0.781 0.581 0.362
O: 0.081 0.185 0.719
O: 0.096 0.320 0.416
O: 0.162 0.569 0.731
O: 0.185 0.466 0.104
O: 0.320 0.904 0.224
O: 0.362 0.081 0.896
O: 0.431 0.162 0.593
O: 0.466 0.362 0.281
O: 0.534 0.638 0.719
O: 0.569 0.838 0.407
O: 0.638 0.919 0.104
O: 0.680 0.096 0.776
O: 0.815 0.534 0.896
O: 0.838 0.431 0.269
O: 0.904 0.680 0.584
O: 0.919 0.815 0.281

For the total energy, the calculation gives -5.622 eV per atom. As for the formation energy (no corrections): -1.942 eV per atom. The volume comes out at 11.15 Å³/atom. The calculated density comes out at 3.4 g/cm3.